# 1
VASP calculation (GGA-PBE) on an optimized crystal structure of Sr2TaTl.

Calculated values
M_tot, μB/cell: 0.67
SG: No. 44
Formation enthalpy at 0 K, meV/atom: 548

Unit cell a=6.960 b=6.960 c=6.960 alpha=150.11 beta=130.90 gamma=58.56
Site moments in Bohr magnetons follow the coordinates.
Sites, in units of the cell vectors:
Sr (0.973, 0.973, 0.000)  0.02
Sr (0.273, 0.773, 0.500)  0.00
Ta (0.534, 0.534, 0.000)  0.40
Tl (0.720, 0.220, 0.500)  -0.01



# 2
VASP calculation (GGA-PBE) on an optimized crystal structure of ReNi2As.

Calculated values
M_tot, μB/cell: 0.00
SG: No. 123
Formation enthalpy at 0 K, meV/atom: 87

Unit cell a=2.682 b=2.682 c=7.428 alpha=90.00 beta=90.00 gamma=89.97
Sites, in units of the cell vectors:
As (0.500, 0.500, 0.750)
Ni (0.000, 0.000, 0.007)
Ni (0.000, 0.000, 0.493)
Re (0.500, 0.500, 0.250)



# 3
VASP calculation (GGA-PBE) on an optimized crystal structure of GdAsS2.

Calculated values
M_tot, μB/cell: 6.97
SG: No. 166
Raw formation energy, eV/atom: -0.939

Unit cell a=3.927 b=3.927 c=8.403 alpha=76.49 beta=76.49 gamma=60.00
Site moments in Bohr magnetons follow the coordinates.
Sites, in units of the cell vectors:
As (0.500, 0.500, 0.500)  0.00
Gd (0.000, 0.000, 0.000)  6.92
S (0.397, 0.397, 0.809)  -0.02
S (0.603, 0.603, 0.191)  -0.02



# 4
VASP calculation (GGA-PBE) on an optimized crystal structure of CrRe2Cl.

Calculated values
M_tot, μB/cell: 0.30
SG: No. 65
Raw formation energy, eV/atom: 0.658

Unit cell a=2.761 b=2.761 c=8.699 alpha=90.00 beta=90.00 gamma=115.91
Site moments in Bohr magnetons follow the coordinates.
Sites, in units of the cell vectors:
Re (0.000, 0.000, 0.980)  -0.06
Re (0.000, 0.000, 0.520)  -0.06
Cl (0.500, 0.500, 0.250)  0.00
Cr (0.500, 0.500, 0.750)  0.41



# 5
VASP calculation (GGA-PBE) on an optimized crystal structure of Pm2Dy5Tm4.

Calculated values
M_tot, μB/cell: 0.00
SG: No. 12
Formation enthalpy at 0 K, meV/atom: 151

Unit cell a=6.604 b=6.604 c=9.224 alpha=75.40 beta=75.40 gamma=67.19
Sites, in units of the cell vectors:
Pm (0.147, 0.147, 0.877)
Pm (0.853, 0.853, 0.123)
Dy (0.652, 0.214, 0.778)
Dy (0.348, 0.786, 0.222)
Dy (0.000, 0.000, 0.500)
Dy (0.214, 0.652, 0.778)
Dy (0.786, 0.348, 0.222)
Tm (0.323, 0.323, 0.498)
Tm (0.677, 0.677, 0.502)
Tm (0.670, 0.670, 0.876)
Tm (0.330, 0.330, 0.124)



# 6
VASP calculation (GGA-PBE) on an optimized crystal structure of ZnRhAu.

Calculated values
M_tot, μB/cell: 0.00
SG: No. 107
Formation enthalpy at 0 K, meV/atom: -153

Unit cell a=5.567 b=5.567 c=5.567 alpha=148.87 beta=148.87 gamma=44.60
Sites, in units of the cell vectors:
Au (0.006, 0.006, 0.000)
Rh (0.319, 0.319, 0.000)
Zn (0.675, 0.675, 0.000)



# 7
VASP calculation (GGA-PBE) on an optimized crystal structure of MnBeAu3.

Calculated values
M_tot, μB/cell: 8.14
SG: No. 2
Formation enthalpy at 0 K, meV/atom: -66

Unit cell a=5.631 b=4.905 c=7.437 alpha=118.69 beta=109.21 gamma=61.74
Site moments in Bohr magnetons follow the coordinates.
Sites, in units of the cell vectors:
Mn (0.537, 0.264, 0.167)  3.93
Mn (0.902, 0.023, 0.798)  3.93
Be (0.083, 0.832, 0.388)  -0.03
Be (0.356, 0.454, 0.577)  -0.03
Au (0.458, 0.633, 0.945)  0.04
Au (0.084, 0.262, 0.249)  0.01
Au (0.623, 0.876, 0.385)  0.00
Au (0.981, 0.654, 0.020)  0.04
Au (0.817, 0.411, 0.580)  0.00
Au (0.356, 0.024, 0.716)  0.01



# 8
VASP calculation (GGA-PBE) on an optimized crystal structure of NiB3Mo.

Calculated values
M_tot, μB/cell: 0.00
SG: No. 221
Formation enthalpy at 0 K, meV/atom: 1575

Unit cell a=4.076 b=4.076 c=4.076 alpha=90.00 beta=90.00 gamma=90.00
Sites, in units of the cell vectors:
Ni (0.500, 0.500, 0.500)
Mo (0.000, 0.000, 0.000)
B (0.000, 0.500, 0.000)
B (0.000, 0.000, 0.500)
B (0.500, 0.000, 0.000)



What is the formula in the sixth record?
ZnRhAu